Here is a geometry-optimized CaTlI2O8 structure from Alexandria. Energies are from PBE.

Unit cell a=6.521 b=6.521 c=6.521 alpha=107.60 beta=107.60 gamma=113.28
Positions (direct):
O (0.769, 0.085, 0.684)
O (0.852, 0.658, 0.194)
O (0.915, 0.231, 0.316)
O (0.342, 0.148, 0.806)
O (0.401, 0.085, 0.316)
O (0.342, 0.537, 0.194)
O (0.915, 0.599, 0.684)
I (0.500, 0.500, 0.000)
I (0.750, 0.250, 0.500)
Ca (0.250, 0.750, 0.500)
Tl (0.000, 0.000, 0.000)
O (0.463, 0.658, 0.806)

Properties
- Fermi-level density of states (states/eV/f.u.) = 2.53
- formation energy from raw total energies (eV per atom) = -0.67
- E_tot (eV/cell) = -55.13

Here is a geometry-optimized Ce6GaGe structure from Alexandria. Energies are from PBE.

Unit cell a=4.624 b=4.624 c=9.235 alpha=90.00 beta=90.00 gamma=90.00
Positions (direct):
Ce (0.500, 0.000, 0.247)
Ce (0.500, 0.500, 0.500)
Ce (0.500, 0.500, 0.000)
Ce (0.000, 0.500, 0.753)
Ga (0.000, 0.000, 0.500)
Ge (0.000, 0.000, 0.000)
Ce (0.000, 0.500, 0.247)
Ce (0.500, 0.000, 0.753)

Properties
- Fermi-level density of states (states/eV/f.u.) = 22.36
- E above lowest polymorph (meV per atom) = 0
- E_tot (eV/cell) = -45.86

Here is a geometry-optimized RbYIn2 structure from Alexandria. Energies are from PBE.

Unit cell a=9.068 b=9.068 c=7.389 alpha=52.15 beta=52.15 gamma=90.00
Positions (direct):
Y (0.750, 0.250, 0.500)
In (0.082, 0.625, 0.250)
Rb (0.500, 0.500, 0.000)
Rb (0.250, 0.750, 0.500)
In (0.875, 0.918, 0.750)
Y (0.000, 0.000, 0.000)
In (0.375, 0.332, 0.750)
In (0.668, 0.125, 0.250)

Properties
- Fermi-level density of states (states/eV/f.u.) = 2.28
- E above lowest polymorph (meV per atom) = 487
- E_tot (eV/cell) = -23.66

Here is a geometry-optimized SrNpTl2O8 structure from Alexandria. Energies are from PBE.

Unit cell a=5.236 b=5.186 c=7.080 alpha=89.99 beta=90.00 gamma=91.15
Positions (direct):
Tl (0.500, 0.500, 0.758)
O (0.151, 0.800, 0.203)
O (0.849, 0.200, 0.203)
O (0.597, 0.732, 0.500)
O (0.403, 0.268, 0.500)
Sr (0.000, 0.000, 0.500)
O (0.323, 0.280, 0.000)
Tl (0.500, 0.500, 0.242)
O (0.151, 0.800, 0.797)
O (0.677, 0.720, 0.000)
O (0.849, 0.200, 0.797)
Np (0.000, 0.000, 0.000)

Properties
- Fermi-level density of states (states/eV/f.u.) = 3.96
- formation energy from raw total energies (eV per atom) = -1.63
- E_tot (eV/cell) = -78.53

Here is a geometry-optimized PdRuPt structure from Alexandria. Energies are from PBE.

Unit cell a=3.923 b=3.885 c=11.771 alpha=90.00 beta=90.00 gamma=90.00
Positions (direct):
Pt (0.000, 0.500, 0.466)
Pt (0.000, 0.000, 0.966)
Pt (0.000, 0.500, 0.799)
Ru (0.500, 0.500, 0.623)
Ru (0.500, 0.000, 0.473)
Ru (0.500, 0.000, 0.123)
Pd (0.000, 0.500, 0.131)
Pd (0.000, 0.000, 0.631)
Pd (0.500, 0.000, 0.798)
Pd (0.500, 0.500, 0.298)
Pt (0.000, 0.000, 0.299)
Ru (0.500, 0.500, 0.973)

Properties
- Fermi-level density of states (states/eV/f.u.) = 4.34
- E above lowest polymorph (meV per atom) = 24
- E_tot (eV/cell) = -81.00

Here is a geometry-optimized Sr4Sm3S8 structure from Alexandria. Energies are from PBE.

Unit cell a=8.313 b=8.300 c=8.300 alpha=89.65 beta=120.40 gamma=120.40
Positions (direct):
Sr (0.000, 0.000, 0.000)
S (0.500, 0.255, 0.745)
S (0.500, 0.745, 0.255)
S (0.981, 0.743, 0.743)
S (0.496, 0.742, 0.742)
Sr (0.000, 0.000, 0.500)
Sr (0.500, 0.000, 0.000)
Sr (0.000, 0.500, 0.000)
S (0.019, 0.257, 0.257)
Sm (0.500, 0.500, 0.500)
S (0.504, 0.258, 0.258)
Sm (0.500, 0.500, 0.000)
S (0.000, 0.750, 0.250)
S (0.000, 0.250, 0.750)
Sm (0.500, 0.000, 0.500)

Properties
- Fermi-level density of states (states/eV/f.u.) = 2.34
- formation energy from raw total energies (eV per atom) = -2.02
- E_tot (eV/cell) = -84.23

Here is a geometry-optimized Mn5Ir structure from Alexandria. Energies are from PBE.

Unit cell a=3.629 b=3.686 c=5.850 alpha=108.36 beta=90.00 gamma=90.00
Positions (direct):
Mn (0.500, 0.832, 0.663)
Mn (0.000, 0.335, 0.669)
Mn (0.000, 0.665, 0.331)
Mn (0.500, 0.168, 0.337)
Mn (0.500, 0.500, 0.000)
Ir (0.000, 0.000, 0.000)

Properties
- Fermi-level density of states (states/eV/f.u.) = 4.45
- E above lowest polymorph (meV per atom) = 0
- E_tot (eV/cell) = -55.35

Here is a geometry-optimized Sr2Cd15Hg2 structure from Alexandria. Energies are from PBE.

Unit cell a=7.801 b=7.801 c=7.801 alpha=83.13 beta=83.13 gamma=83.13
Positions (direct):
Cd (0.163, 0.642, 0.642)
Cd (0.701, 0.299, 0.000)
Hg (0.894, 0.894, 0.894)
Cd (0.299, 0.000, 0.701)
Cd (0.500, 0.000, 0.000)
Cd (0.299, 0.701, 0.000)
Cd (0.358, 0.358, 0.837)
Cd (0.000, 0.000, 0.500)
Cd (0.000, 0.701, 0.299)
Cd (0.642, 0.642, 0.163)
Cd (0.000, 0.500, 0.000)
Cd (0.000, 0.299, 0.701)
Cd (0.358, 0.837, 0.358)
Cd (0.642, 0.163, 0.642)
Cd (0.701, 0.000, 0.299)
Sr (0.335, 0.335, 0.335)
Sr (0.665, 0.665, 0.665)
Hg (0.106, 0.106, 0.106)
Cd (0.837, 0.358, 0.358)

Properties
- Fermi-level density of states (states/eV/f.u.) = 5.63
- E_tot (eV/cell) = -20.81

Here is a geometry-optimized La2GaBi structure from Alexandria. Energies are from PBE.

Unit cell a=4.115 b=4.115 c=7.078 alpha=90.00 beta=90.00 gamma=90.00
Positions (direct):
Ga (0.500, 0.500, 0.500)
La (0.000, 0.000, 0.253)
Bi (0.500, 0.500, 0.000)
La (0.000, 0.000, 0.747)

Properties
- Fermi-level density of states (states/eV/f.u.) = 3.13
- E above lowest polymorph (meV per atom) = 0
- E_tot (eV/cell) = -19.49

Here is a geometry-optimized BeSbTe structure from Alexandria. Energies are from PBE.

Unit cell a=6.341 b=6.341 c=6.341 alpha=147.98 beta=147.98 gamma=45.91
Positions (direct):
Sb (0.628, 0.628, 0.000)
Be (0.986, 0.986, 0.000)
Te (0.386, 0.386, 0.000)

Properties
- Fermi-level density of states (states/eV/f.u.) = 0.73
- formation energy from raw total energies (eV per atom) = 0.39
- E above lowest polymorph (meV per atom) = 463
- E_tot (eV/cell) = -9.81

Here is a geometry-optimized Tb3Er2TmS6 structure from Alexandria. Energies are from PBE.

Unit cell a=6.738 b=6.738 c=6.753 alpha=99.53 beta=99.53 gamma=120.21
Positions (direct):
Er (0.667, 0.333, 0.000)
S (0.919, 0.587, 0.757)
Tb (0.500, 0.500, 0.500)
Er (0.333, 0.667, 0.000)
S (0.251, 0.251, 0.756)
S (0.413, 0.081, 0.243)
Tb (0.167, 0.833, 0.500)
S (0.587, 0.919, 0.757)
S (0.081, 0.413, 0.243)
S (0.749, 0.749, 0.244)
Tb (0.833, 0.167, 0.500)
Tm (0.000, 0.000, 0.000)

Properties
- Fermi-level density of states (states/eV/f.u.) = 4.95
- formation energy from raw total energies (eV per atom) = -1.98
- E_tot (eV/cell) = -76.04

Here is a geometry-optimized ZnHg2Sb structure from Alexandria. Energies are from PBE.

Unit cell a=5.140 b=5.140 c=5.140 alpha=60.00 beta=60.00 gamma=60.00
Positions (direct):
Hg (0.250, 0.250, 0.250)
Hg (0.750, 0.750, 0.750)
Sb (0.500, 0.500, 0.500)
Zn (0.000, 0.000, 0.000)

Properties
- Fermi-level density of states (states/eV/f.u.) = 2.26
- formation energy from raw total energies (eV per atom) = 0.21
- E above lowest polymorph (meV per atom) = 135
- E_tot (eV/cell) = -5.14

Here is a geometry-optimized PmCdRhPb structure from Alexandria. Energies are from PBE.

Unit cell a=5.052 b=5.052 c=5.052 alpha=60.00 beta=60.00 gamma=60.00
Positions (direct):
Pb (0.000, 0.000, 0.000)
Pm (0.500, 0.500, 0.500)
Cd (0.750, 0.750, 0.750)
Rh (0.250, 0.250, 0.250)

Properties
- Fermi-level density of states (states/eV/f.u.) = 3.07
- E_tot (eV/cell) = -17.84

Here is a geometry-optimized Rb2In2Bi3 structure from Alexandria. Energies are from PBE.

Unit cell a=5.039 b=10.479 c=11.885 alpha=78.18 beta=77.76 gamma=76.09
Positions (direct):
Rb (0.612, 0.738, 0.038)
In (0.587, 0.473, 0.352)
Rb (0.739, 0.869, 0.654)
Bi (0.847, 0.512, 0.795)
Bi (0.153, 0.488, 0.205)
Bi (0.930, 0.014, 0.126)
In (0.022, 0.247, 0.708)
Bi (0.403, 0.754, 0.441)
In (0.978, 0.753, 0.292)
Bi (0.070, 0.986, 0.874)
In (0.413, 0.527, 0.648)
Bi (0.597, 0.246, 0.559)
Rb (0.261, 0.131, 0.346)
Rb (0.388, 0.262, 0.962)

Properties
- Fermi-level density of states (states/eV/f.u.) = 1.19
- E above lowest polymorph (meV per atom) = 0
- E_tot (eV/cell) = -41.31

Here is a geometry-optimized LiReSe2 structure from Alexandria. Energies are from PBE.

Unit cell a=4.400 b=4.400 c=5.903 alpha=84.68 beta=84.68 gamma=43.20
Positions (direct):
Se (0.017, 0.017, 0.077)
Li (0.446, 0.446, 0.699)
Re (0.295, 0.295, 0.202)
Se (0.742, 0.742, 0.522)

Properties
- Fermi-level density of states (states/eV/f.u.) = 2.35
- formation energy from raw total energies (eV per atom) = -0.20
- E above lowest polymorph (meV per atom) = 40
- E_tot (eV/cell) = -22.14

Here is a geometry-optimized Y5Mg structure from Alexandria. Energies are from PBE.

Unit cell a=9.369 b=9.369 c=5.623 alpha=90.00 beta=90.00 gamma=157.72
Positions (direct):
Y (0.110, 0.890, 0.500)
Y (0.449, 0.551, 0.500)
Y (0.662, 0.338, 0.000)
Y (0.332, 0.668, 0.000)
Y (0.779, 0.221, 0.500)
Mg (0.000, 0.000, 0.000)

Properties
- Fermi-level density of states (states/eV/f.u.) = 8.49
- E above lowest polymorph (meV per atom) = 22
- E_tot (eV/cell) = -33.88

Here is a geometry-optimized PmTeAu structure from Alexandria. Energies are from PBE.

Unit cell a=5.140 b=5.140 c=5.140 alpha=60.00 beta=60.00 gamma=60.00
Positions (direct):
Te (0.000, 0.000, 0.000)
Au (0.500, 0.500, 0.500)
Pm (0.250, 0.250, 0.250)

Properties
- formation energy from raw total energies (eV per atom) = -0.90
- E above lowest polymorph (meV per atom) = 65
- E_tot (eV/cell) = -13.87

Here is a geometry-optimized Ba2TiCdO5 structure from Alexandria. Energies are from PBE.

Unit cell a=3.633 b=7.471 c=11.301 alpha=90.00 beta=90.00 gamma=104.07
Positions (direct):
Ba (0.897, 0.793, 0.183)
O (0.282, 0.563, 0.657)
O (0.962, 0.924, 0.505)
O (0.396, 0.792, 0.003)
O (0.604, 0.208, 0.503)
Cd (0.799, 0.598, 0.526)
O (0.038, 0.076, 0.005)
Ba (0.159, 0.318, 0.316)
O (0.663, 0.325, 0.896)
O (0.487, 0.974, 0.792)
Ti (0.522, 0.044, 0.945)
Ba (0.103, 0.207, 0.683)
Cd (0.201, 0.402, 0.026)
O (0.718, 0.437, 0.157)
Ti (0.478, 0.956, 0.445)
Ba (0.841, 0.682, 0.816)
O (0.513, 0.026, 0.292)
O (0.337, 0.675, 0.396)

Properties
- Fermi-level density of states (states/eV/f.u.) = 0.00
- formation energy from raw total energies (eV per atom) = -2.43
- E_tot (eV/cell) = -118.58